[1]
Computed, not measured: an optimized crystal structure of ZnTe2Mo at the PBE level of DFT.

a = 3.468 Å, b = 3.468 Å, c = 31.899 Å
α = 90.00°, β = 90.00°, γ = 120.00°
Fractional positions:
1 Zn 0.000 0.000 0.000
2 Zn 0.333 0.667 0.667
3 Zn 0.667 0.333 0.333
4 Te 0.000 0.000 0.108
5 Te 0.000 0.000 0.892
6 Te 0.333 0.667 0.559
7 Te 0.333 0.667 0.774
8 Te 0.667 0.333 0.226
9 Te 0.667 0.333 0.441
10 Mo 0.000 0.000 0.500
11 Mo 0.333 0.667 0.167
12 Mo 0.667 0.333 0.833

The calculated volume is 111 Å³/f.u. For the formation energy from raw total energies, the calculation gives 0.47 eV per formula unit.



[2]
Computed, not measured: an optimized crystal structure of ZnTe2Mo at the PBE level of DFT.

a = 6.262 Å, b = 3.610 Å, c = 8.484 Å
α = 90.00°, β = 103.82°, γ = 90.00°
Fractional positions:
1 Zn 0.000 0.000 0.000
2 Zn 0.500 0.500 0.000
3 Te 0.238 0.000 0.721
4 Te 0.262 0.500 0.279
5 Te 0.738 0.500 0.721
6 Te 0.762 0.000 0.279
7 Mo 0.000 0.500 0.500
8 Mo 0.500 0.000 0.500

The calculated volume is 93 Å³/f.u. For the formation energy from raw total energies, the calculation gives 0.42 eV per formula unit.



[3]
Computed, not measured: an optimized crystal structure of ZnTeMo at the PBE level of DFT.

a = 12.931 Å, b = 3.304 Å, c = 5.722 Å
α = 90.00°, β = 90.00°, γ = 90.00°
Fractional positions:
1 Zn 0.148 0.000 0.000
2 Zn 0.148 0.500 0.500
3 Zn 0.852 0.000 0.000
4 Zn 0.852 0.500 0.500
5 Te 0.350 0.000 0.330
6 Te 0.350 0.500 0.830
7 Te 0.650 0.000 0.330
8 Te 0.650 0.500 0.830
9 Mo 0.000 0.000 0.666
10 Mo 0.000 0.500 0.166
11 Mo 0.500 0.000 0.664
12 Mo 0.500 0.500 0.164

The energy above the lowest structure with this stoichiometry comes out at 169 meV/atom. The calculated volume is 61 Å³/f.u. For the formation energy from raw total energies, the calculation gives 0.93 eV per formula unit.



[4]
Computed, not measured: an optimized crystal structure of Zr2TeMo at the PBE level of DFT.

a = 3.546 Å, b = 4.560 Å, c = 5.532 Å
α = 90.00°, β = 108.45°, γ = 90.00°
Fractional positions:
1 Zr 0.000 0.000 0.000
2 Zr 0.281 0.500 0.588
3 Te 0.714 0.000 0.445
4 Mo 0.560 0.500 0.098

The calculated volume is 85 Å³/f.u. For the formation energy from raw total energies, the calculation gives -1.04 eV per formula unit.



[5]
Computed, not measured: an optimized crystal structure of Zr2TeMo at the PBE level of DFT.

a = 5.978 Å, b = 7.826 Å, c = 3.493 Å
α = 90.00°, β = 90.00°, γ = 90.00°
Fractional positions:
1 Zr 0.250 0.250 0.000
2 Zr 0.250 0.750 0.000
3 Zr 0.750 0.250 0.000
4 Zr 0.750 0.750 0.000
5 Te 0.000 0.000 0.500
6 Te 0.500 0.500 0.500
7 Mo 0.000 0.500 0.500
8 Mo 0.500 0.000 0.500

The calculated volume is 82 Å³/f.u. For the formation energy from raw total energies, the calculation gives -0.85 eV per formula unit.



[6]
Computed, not measured: an optimized crystal structure of Zr3TeMo at the PBE level of DFT.

a = 5.211 Å, b = 5.211 Å, c = 5.211 Å
α = 90.00°, β = 90.00°, γ = 90.00°
Fractional positions:
1 Zr 0.000 0.000 0.500
2 Zr 0.000 0.500 0.000
3 Zr 0.500 0.000 0.000
4 Te 0.000 0.000 0.000
5 Mo 0.500 0.500 0.500

The energy above the lowest structure with this stoichiometry comes out at 620 meV/atom. The calculated volume is 141 Å³/f.u. For the formation energy from raw total energies, the calculation gives 5.49 eV per formula unit.



[7]
Computed, not measured: an optimized crystal structure of Zr2TeMo at the PBE level of DFT.

a = 4.216 Å, b = 4.216 Å, c = 20.128 Å
α = 90.00°, β = 90.00°, γ = 90.00°
Fractional positions:
1 Zr 0.249 0.250 0.125
2 Zr 0.250 0.749 0.375
3 Zr 0.250 0.751 0.875
4 Zr 0.251 0.250 0.625
5 Zr 0.749 0.750 0.625
6 Zr 0.750 0.249 0.875
7 Zr 0.750 0.251 0.375
8 Zr 0.751 0.750 0.125
9 Te 0.000 0.000 0.000
10 Te 0.000 0.500 0.250
11 Te 0.500 0.000 0.750
12 Te 0.500 0.500 0.500
13 Mo 0.000 0.000 0.500
14 Mo 0.000 0.500 0.750
15 Mo 0.500 0.000 0.250
16 Mo 0.500 0.500 0.000

The calculated volume is 89 Å³/f.u. For the formation energy from raw total energies, the calculation gives 1.62 eV per formula unit.



[8]
Computed, not measured: an optimized crystal structure of Zr2TeMo at the PBE level of DFT.

a = 3.764 Å, b = 5.243 Å, c = 8.729 Å
α = 90.00°, β = 90.00°, γ = 90.00°
Fractional positions:
1 Zr 0.000 0.000 0.000
2 Zr 0.000 0.500 0.284
3 Zr 0.500 0.000 0.284
4 Zr 0.500 0.500 0.000
5 Te 0.000 0.000 0.536
6 Te 0.500 0.500 0.536
7 Mo 0.000 0.500 0.770
8 Mo 0.500 0.000 0.770

The calculated volume is 86 Å³/f.u. For the formation energy from raw total energies, the calculation gives 0.54 eV per formula unit.



[9]
Computed, not measured: an optimized crystal structure of Zr2TeMo at the PBE level of DFT.

a = 4.432 Å, b = 4.432 Å, c = 8.294 Å
α = 90.00°, β = 90.00°, γ = 90.00°
Fractional positions:
1 Zr 0.000 0.500 0.250
2 Zr 0.000 0.500 0.750
3 Zr 0.500 0.000 0.250
4 Zr 0.500 0.000 0.750
5 Te 0.000 0.000 0.000
6 Te 0.500 0.500 0.500
7 Mo 0.000 0.000 0.500
8 Mo 0.500 0.500 0.000

The calculated volume is 81 Å³/f.u. For the formation energy from raw total energies, the calculation gives -0.42 eV per formula unit.



[10]
Computed, not measured: an optimized crystal structure of Zr4TeMo at the PBE level of DFT.

a = 5.701 Å, b = 5.701 Å, c = 5.701 Å
α = 60.00°, β = 60.00°, γ = 60.00°
Fractional positions:
1 Zr 0.123 0.123 0.123
2 Zr 0.123 0.123 0.631
3 Zr 0.123 0.631 0.123
4 Zr 0.631 0.123 0.123
5 Te 0.500 0.500 0.500
6 Mo 0.750 0.750 0.750

The calculated volume is 131 Å³/f.u. For the formation energy from raw total energies, the calculation gives 2.64 eV per formula unit.



[11]
Computed, not measured: an optimized crystal structure of Zr2Te6Mo at the PBE level of DFT.

a = 7.019 Å, b = 7.330 Å, c = 11.299 Å
α = 90.00°, β = 124.36°, γ = 90.00°
Fractional positions:
1 Zr 0.212 0.155 0.251
2 Zr 0.212 0.345 0.751
3 Zr 0.788 0.655 0.249
4 Zr 0.788 0.845 0.749
5 Te 0.085 0.163 0.929
6 Te 0.085 0.337 0.429
7 Te 0.284 0.672 0.934
8 Te 0.284 0.828 0.434
9 Te 0.416 0.004 0.760
10 Te 0.416 0.496 0.260
11 Te 0.584 0.504 0.740
12 Te 0.584 0.996 0.240
13 Te 0.716 0.172 0.566
14 Te 0.716 0.328 0.066
15 Te 0.915 0.663 0.571
16 Te 0.915 0.837 0.071
17 Mo 0.000 0.000 0.500
18 Mo 0.000 0.500 0.000

The calculated volume is 240 Å³/f.u. For the formation energy from raw total energies, the calculation gives -4.23 eV per formula unit.



[12]
Computed, not measured: an optimized crystal structure of Zr2TeMo at the PBE level of DFT.

a = 3.680 Å, b = 5.360 Å, c = 8.702 Å
α = 90.00°, β = 90.00°, γ = 90.00°
Fractional positions:
1 Zr 0.000 0.000 0.232
2 Zr 0.000 0.000 0.768
3 Zr 0.500 0.500 0.232
4 Zr 0.500 0.500 0.768
5 Te 0.000 0.500 0.500
6 Te 0.500 0.000 0.500
7 Mo 0.000 0.500 0.000
8 Mo 0.500 0.000 0.000

The calculated volume is 86 Å³/f.u. For the formation energy from raw total energies, the calculation gives -0.52 eV per formula unit.



[13]
Computed, not measured: an optimized crystal structure of Zr3TeMo at the PBE level of DFT.

a = 5.065 Å, b = 5.065 Å, c = 5.065 Å
α = 90.00°, β = 90.00°, γ = 90.00°
Fractional positions:
1 Zr 0.000 0.000 0.500
2 Zr 0.000 0.500 0.000
3 Zr 0.500 0.000 0.000
4 Te 0.500 0.500 0.500
5 Mo 0.000 0.000 0.000

The energy above the lowest structure with this stoichiometry comes out at 0 meV/atom. The calculated volume is 130 Å³/f.u. For the formation energy from raw total energies, the calculation gives 2.39 eV per formula unit.



[14]
Computed, not measured: an optimized crystal structure of Zr2TeMo at the PBE level of DFT.

a = 3.607 Å, b = 3.607 Å, c = 6.403 Å
α = 90.00°, β = 90.00°, γ = 90.00°
Fractional positions:
1 Zr 0.000 0.000 0.234
2 Zr 0.000 0.000 0.766
3 Te 0.500 0.500 0.500
4 Mo 0.500 0.500 0.000

The calculated volume is 83 Å³/f.u. For the formation energy from raw total energies, the calculation gives -1.24 eV per formula unit.



[15]
Computed, not measured: an optimized crystal structure of Zr2TeMo at the PBE level of DFT.

a = 3.591 Å, b = 4.637 Å, c = 9.879 Å
α = 90.00°, β = 90.00°, γ = 90.00°
Fractional positions:
1 Zr 0.000 0.000 0.000
2 Zr 0.000 0.500 0.237
3 Zr 0.500 0.000 0.737
4 Zr 0.500 0.500 0.500
5 Te 0.000 0.000 0.461
6 Te 0.500 0.500 0.961
7 Mo 0.000 0.500 0.724
8 Mo 0.500 0.000 0.224

The calculated volume is 82 Å³/f.u. For the formation energy from raw total energies, the calculation gives -0.76 eV per formula unit.



[16]
Computed, not measured: an optimized crystal structure of ZrTeMo3 at the PBE level of DFT.

a = 4.875 Å, b = 4.875 Å, c = 4.875 Å
α = 90.00°, β = 90.00°, γ = 90.00°
Fractional positions:
1 Zr 0.000 0.000 0.000
2 Te 0.500 0.500 0.500
3 Mo 0.000 0.000 0.500
4 Mo 0.000 0.500 0.000
5 Mo 0.500 0.000 0.000

The energy above the lowest structure with this stoichiometry comes out at 461 meV/atom. The calculated volume is 116 Å³/f.u. For the formation energy from raw total energies, the calculation gives 9.73 eV per formula unit.



[17]
Computed, not measured: an optimized crystal structure of Zr2TeMo at the PBE level of DFT.

a = 6.839 Å, b = 6.839 Å, c = 6.839 Å
α = 90.00°, β = 90.00°, γ = 90.00°
Fractional positions:
1 Zr 0.000 0.000 0.000
2 Zr 0.000 0.500 0.500
3 Zr 0.250 0.250 0.250
4 Zr 0.250 0.750 0.750
5 Zr 0.500 0.000 0.500
6 Zr 0.500 0.500 0.000
7 Zr 0.750 0.250 0.750
8 Zr 0.750 0.750 0.250
9 Te 0.250 0.250 0.750
10 Te 0.250 0.750 0.250
11 Te 0.750 0.250 0.250
12 Te 0.750 0.750 0.750
13 Mo 0.000 0.000 0.500
14 Mo 0.000 0.500 0.000
15 Mo 0.500 0.000 0.000
16 Mo 0.500 0.500 0.500

The calculated volume is 80 Å³/f.u. For the formation energy from raw total energies, the calculation gives 0.29 eV per formula unit.



[18]
Computed, not measured: an optimized crystal structure of Zr2TeMo at the PBE level of DFT.

a = 3.655 Å, b = 3.655 Å, c = 6.226 Å
α = 90.00°, β = 90.00°, γ = 90.00°
Fractional positions:
1 Zr 0.000 0.000 0.000
2 Zr 0.500 0.500 0.272
3 Te 0.500 0.500 0.756
4 Mo 0.000 0.000 0.492

The calculated volume is 83 Å³/f.u. For the formation energy from raw total energies, the calculation gives -0.43 eV per formula unit.



[19]
Computed, not measured: an optimized crystal structure of Zr2TeMo at the PBE level of DFT.

a = 3.351 Å, b = 3.351 Å, c = 26.937 Å
α = 90.00°, β = 90.00°, γ = 120.00°
Fractional positions:
1 Zr 0.000 0.000 0.000
2 Zr 0.000 0.000 0.241
3 Zr 0.333 0.667 0.667
4 Zr 0.333 0.667 0.908
5 Zr 0.667 0.333 0.333
6 Zr 0.667 0.333 0.575
7 Te 0.000 0.000 0.485
8 Te 0.333 0.667 0.152
9 Te 0.667 0.333 0.818
10 Mo 0.000 0.000 0.745
11 Mo 0.333 0.667 0.411
12 Mo 0.667 0.333 0.078

The calculated volume is 87 Å³/f.u. For the formation energy from raw total energies, the calculation gives 0.53 eV per formula unit.



[20]
Computed, not measured: an optimized crystal structure of Zr2TeMo at the PBE level of DFT.

a = 3.488 Å, b = 3.488 Å, c = 25.163 Å
α = 90.00°, β = 90.00°, γ = 120.00°
Fractional positions:
1 Zr 0.000 0.000 0.245
2 Zr 0.000 0.000 0.755
3 Zr 0.333 0.667 0.422
4 Zr 0.333 0.667 0.912
5 Zr 0.667 0.333 0.088
6 Zr 0.667 0.333 0.578
7 Te 0.000 0.000 0.000
8 Te 0.333 0.667 0.667
9 Te 0.667 0.333 0.333
10 Mo 0.000 0.000 0.500
11 Mo 0.333 0.667 0.167
12 Mo 0.667 0.333 0.833

The calculated volume is 88 Å³/f.u. For the formation energy from raw total energies, the calculation gives -0.60 eV per formula unit.